Entry 1:
VASP calculation (GGA-PBE) on a relaxed SrCa3Ag crystal.

Cell: 6.288 6.288 6.288 Å, 90.00 90.00 90.00°
Fractional coordinates of all 5 atoms:
1 Sr 0.000 0.000 0.000
2 Ca 0.000 0.000 0.500
3 Ca 0.000 0.500 0.000
4 Ca 0.500 0.000 0.000
5 Ag 0.500 0.500 0.500

Summary:
Spin magnetization ... 3.59 μB per cell
Energy relative to the elements ... 1.07 eV per atom
Space-group type ... No. 221



Entry 2:
VASP calculation (GGA-PBE) on a relaxed SrCa2Ag2 crystal.

Cell: 8.400 8.400 4.387 Å, 90.00 90.00 90.00°
Fractional coordinates of all 10 atoms:
1 Sr 0.000 0.000 0.000
2 Sr 0.500 0.500 0.000
3 Ca 0.161 0.339 0.500
4 Ca 0.339 0.839 0.500
5 Ca 0.661 0.161 0.500
6 Ca 0.839 0.661 0.500
7 Ag 0.125 0.625 0.000
8 Ag 0.375 0.125 0.000
9 Ag 0.625 0.875 0.000
10 Ag 0.875 0.375 0.000

Summary:
Spin magnetization ... 0.00 μB per cell
Energy relative to the elements ... -0.26 eV per atom
Space-group type ... No. 127



Entry 3:
VASP calculation (GGA-PBE) on a relaxed SrCa3Ag crystal.

Cell: 7.186 7.186 14.278 Å, 111.64 111.64 33.86°
Fractional coordinates of all 10 atoms:
1 Sr 0.000 0.000 0.000
2 Sr 0.123 0.123 0.298
3 Ca 0.124 0.124 0.619
4 Ca 0.240 0.240 0.903
5 Ca 0.437 0.437 0.388
6 Ca 0.473 0.473 0.757
7 Ca 0.775 0.775 0.148
8 Ca 0.807 0.807 0.535
9 Ag 0.441 0.441 0.150
10 Ag 0.795 0.795 0.760

Summary:
Spin magnetization ... 0.00 μB per cell
Energy relative to the elements ... -0.13 eV per atom
Space-group type ... No. 8



Entry 4:
VASP calculation (GGA-PBE) on a relaxed Sr2Ca2Ag crystal.

Cell: 8.299 8.299 6.342 Å, 90.00 90.00 90.00°
Fractional coordinates of all 10 atoms:
1 Sr 0.160 0.340 0.000
2 Sr 0.340 0.840 0.000
3 Sr 0.660 0.160 0.000
4 Sr 0.840 0.660 0.000
5 Ca 0.163 0.663 0.500
6 Ca 0.337 0.163 0.500
7 Ca 0.663 0.837 0.500
8 Ca 0.837 0.337 0.500
9 Ag 0.000 0.000 0.000
10 Ag 0.500 0.500 0.000

Summary:
Spin magnetization ... 0.00 μB per cell
Energy relative to the elements ... 0.11 eV per atom
Space-group type ... No. 127



Q: energy relative to the elements of number 3 (SrCa3Ag)?
A: -0.13 eV per atom